HgPbI | GGA-PBE | relaxed

**E_tot**: -2.04 eV per atom
**E_form (uncorrected)**: -53.3 kJ/mol of formula units
**V**: 108.5 Å³/f.u.
**Distance to the lowest polymorph of the same formula**: 0.0 meV per atom
**Size of the total moment**: 0.0 μB per cell
**Space-group type**: P-1
**D(E_F)**: 0.95 states/eV/f.u.

```
HgPbI
1.0
4.227 0.234 -0.118
-1.647 3.892 0.272
-0.855 0.022 12.914
I Pb Hg
2 2 2
Cartesian
0.233 2.642 1.907 I
1.491 1.507 11.161 I
3.556 0.301 9.004 Pb
-1.831 3.847 4.064 Pb
-0.214 2.718 7.349 Hg
1.939 1.431 5.719 Hg
```